Gd2SeBr2 (PBE, relaxed); energy = -4.50 eV per atom; SG = I4/mmm (139)
1.0
-2.7206 2.7206 5.3473
2.7206 -2.7206 5.3473
2.7206 2.7206 -5.3473
Br Gd Se
2 2 1
direct
0.3467 0.3467 0.0000
0.6533 0.6533 0.0000
0.5000 0.0000 0.5000
0.0000 0.5000 0.5000
0.0000 0.0000 0.0000